{
  "formula": "Na2B3C",
  "functional": "GGA-PBE",
  "state": "relaxed",
  "lattice_angstrom": [[-3.278, -5.092, -6.814], [-4.973, -5.990, -4.744], [-5.753, 12.254, 0.604]],
  "species": ["Na", "Na", "Na", "Na", "Na", "Na", "Na", "Na", "Na", "Na", "B", "B", "B", "B", "B", "B", "B", "B", "B", "B", "B", "B", "B", "B", "B", "C", "C", "C", "C", "C"],
  "frac_coords": [[0.000, 0.000, 0.002], [0.200, 0.200, 0.900], [0.201, 0.201, 0.399], [0.400, 0.400, 0.302], [0.400, 0.400, 0.799], [0.598, 0.598, 0.697], [0.600, 0.600, 0.204], [0.802, 0.802, 0.104], [0.801, 0.801, 0.596], [0.999, 0.999, 0.498], [0.632, 0.632, 0.016], [0.766, 0.766, 0.781], [0.830, 0.830, 0.910], [0.569, 0.569, 0.889], [0.831, 0.831, 0.412], [0.036, 0.036, 0.322], [0.765, 0.765, 0.281], [0.028, 0.028, 0.805], [0.222, 0.222, 0.692], [0.963, 0.963, 0.673], [0.373, 0.373, 0.999], [0.441, 0.441, 0.134], [0.174, 0.174, 0.101], [0.630, 0.630, 0.509], [0.371, 0.371, 0.490], [0.972, 0.972, 0.197], [0.162, 0.162, 0.573], [0.233, 0.233, 0.219], [0.433, 0.433, 0.611], [0.568, 0.568, 0.385]],
  "space_group": "Cm",
  "magnetic_moment_mub_per_fu": 0.00,
  "n_ef_per_ev_cell": 7.63,
  "formation_energy_ev_per_atom": 0.153
}